1.
## NaTiPO5 (PBE)

Data for an optimized crystal structure of NaTiPO5.

Summary:
uncorrected energy	-479.470	eV/cell
size of the total moment	0.000	μB/f.u.
polymorph energy (0 for the lowest one)	0.0000	eV per atom

a b c (Å): 8.828 10.668 9.251
angles (deg): 90.00 90.02 90.00
Fractional coordinates of all 64 atoms:
Na: 0.036 0.000 0.293
Na: 0.228 0.200 0.980
Na: 0.250 0.631 0.354
Na: 0.461 0.785 0.697
Na: 0.539 0.285 0.303
Na: 0.750 0.131 0.646
Na: 0.772 0.700 0.020
Na: 0.964 0.500 0.707
Ti: 0.117 0.755 0.856
Ti: 0.124 0.026 0.651
Ti: 0.381 0.266 0.647
Ti: 0.393 0.527 0.868
Ti: 0.607 0.027 0.132
Ti: 0.619 0.766 0.353
Ti: 0.876 0.526 0.349
Ti: 0.883 0.255 0.144
P: 0.074 0.272 0.449
P: 0.087 0.500 0.057
P: 0.408 0.782 0.062
P: 0.424 0.022 0.441
P: 0.576 0.522 0.559
P: 0.592 0.282 0.938
P: 0.913 0.000 0.943
P: 0.926 0.772 0.551
O: 0.001 0.171 0.548
O: 0.003 0.402 0.478
O: 0.004 0.591 0.950
O: 0.039 0.363 0.030
O: 0.049 0.229 0.290
O: 0.052 0.542 0.215
O: 0.195 0.890 0.755
O: 0.235 0.777 0.036
O: 0.247 0.284 0.477
O: 0.252 0.013 0.471
O: 0.255 0.144 0.728
O: 0.255 0.643 0.783
O: 0.261 0.507 0.038
O: 0.314 0.392 0.765
O: 0.435 0.746 0.223
O: 0.447 0.059 0.281
O: 0.463 0.916 0.028
O: 0.494 0.893 0.477
O: 0.496 0.689 0.963
O: 0.499 0.626 0.466
O: 0.501 0.126 0.534
O: 0.504 0.189 0.037
O: 0.506 0.393 0.523
O: 0.537 0.416 0.972
O: 0.553 0.559 0.719
O: 0.565 0.246 0.777
O: 0.686 0.892 0.235
O: 0.739 0.007 0.962
O: 0.745 0.143 0.217
O: 0.745 0.644 0.272
O: 0.748 0.513 0.529
O: 0.753 0.784 0.523
O: 0.765 0.277 0.964
O: 0.805 0.390 0.245
O: 0.948 0.042 0.785
O: 0.951 0.729 0.710
O: 0.961 0.863 0.970
O: 0.996 0.091 0.050
O: 0.997 0.902 0.522
O: 0.999 0.671 0.452


2.
## NaTiPO5 (PBE)

Data for an optimized crystal structure of NaTiPO5.

Summary:
uncorrected energy	-239.182	eV/cell
size of the total moment	0.000	μB/f.u.
polymorph energy (0 for the lowest one)	0.0173	eV per atom

a b c (Å): 7.515 6.537 7.839
angles (deg): 90.00 90.00 90.00
Fractional coordinates of all 32 atoms:
Na: 0.000 0.000 0.000
Na: 0.000 0.500 0.000
Na: 0.500 0.000 0.500
Na: 0.500 0.500 0.500
Ti: 0.167 0.250 0.286
Ti: 0.333 0.750 0.786
Ti: 0.667 0.250 0.214
Ti: 0.833 0.750 0.714
P: 0.123 0.750 0.395
P: 0.377 0.250 0.895
P: 0.623 0.750 0.105
P: 0.877 0.250 0.605
O: 0.057 0.250 0.509
O: 0.106 0.750 0.829
O: 0.136 0.559 0.278
O: 0.136 0.941 0.278
O: 0.219 0.250 0.024
O: 0.281 0.750 0.524
O: 0.364 0.059 0.778
O: 0.364 0.441 0.778
O: 0.394 0.250 0.329
O: 0.443 0.750 0.009
O: 0.557 0.250 0.991
O: 0.606 0.750 0.671
O: 0.636 0.559 0.222
O: 0.636 0.941 0.222
O: 0.719 0.250 0.476
O: 0.781 0.750 0.976
O: 0.864 0.059 0.722
O: 0.864 0.441 0.722
O: 0.894 0.250 0.171
O: 0.943 0.750 0.491


3.
## Na3TiP2O8 (PBE)

Data for an optimized crystal structure of Na3TiP2O8.

Summary:
uncorrected energy	-94.821	eV/cell
size of the total moment	1.000	μB/f.u.

a b c (Å): 5.361 5.361 6.762
angles (deg): 90.00 90.00 120.00
Fractional coordinates of all 14 atoms:
Na: 0.000 0.000 0.000
Na: 0.333 0.667 0.687
Na: 0.667 0.333 0.313
Ti: 0.000 0.000 0.500
P: 0.333 0.667 0.233
P: 0.667 0.333 0.767
O: 0.177 0.354 0.320
O: 0.177 0.823 0.320
O: 0.333 0.667 0.011
O: 0.354 0.177 0.680
O: 0.646 0.823 0.320
O: 0.667 0.333 0.989
O: 0.823 0.177 0.680
O: 0.823 0.646 0.680


4.
## NaTiP2O7 (PBE)

Data for an optimized crystal structure of NaTiP2O7.

Summary:
uncorrected energy	-324.339	eV/cell
size of the total moment	1.000	μB/f.u.

a b c (Å): 7.474 8.062 9.826
angles (deg): 90.00 111.62 90.00
Fractional coordinates of all 44 atoms:
Na: 0.215 0.024 0.210
Na: 0.215 0.476 0.710
Na: 0.785 0.524 0.290
Na: 0.785 0.976 0.790
Ti: 0.239 0.009 0.750
Ti: 0.239 0.491 0.250
Ti: 0.761 0.509 0.750
Ti: 0.761 0.991 0.250
P: 0.172 0.713 0.953
P: 0.172 0.787 0.453
P: 0.429 0.244 0.046
P: 0.429 0.256 0.546
P: 0.571 0.744 0.454
P: 0.571 0.756 0.954
P: 0.828 0.213 0.547
P: 0.828 0.287 0.047
O: 0.034 0.588 0.850
O: 0.034 0.912 0.350
O: 0.132 0.607 0.398
O: 0.132 0.893 0.898
O: 0.192 0.699 0.113
O: 0.192 0.801 0.613
O: 0.318 0.214 0.882
O: 0.318 0.286 0.382
O: 0.322 0.137 0.608
O: 0.322 0.363 0.108
O: 0.374 0.657 0.938
O: 0.374 0.843 0.438
O: 0.488 0.084 0.136
O: 0.488 0.416 0.636
O: 0.512 0.584 0.364
O: 0.512 0.916 0.864
O: 0.626 0.157 0.562
O: 0.626 0.343 0.062
O: 0.678 0.637 0.892
O: 0.678 0.863 0.392
O: 0.682 0.714 0.618
O: 0.682 0.786 0.118
O: 0.808 0.199 0.387
O: 0.808 0.301 0.887
O: 0.868 0.107 0.102
O: 0.868 0.393 0.602
O: 0.966 0.088 0.650
O: 0.966 0.412 0.150


5.
## NaTiPO5 (PBE)

Data for an optimized crystal structure of NaTiPO5.

Summary:
uncorrected energy	-119.802	eV/cell
size of the total moment	0.000	μB/f.u.
polymorph energy (0 for the lowest one)	0.0041	eV per atom

a b c (Å): 5.459 5.459 7.119
angles (deg): 105.11 105.11 103.96
Fractional coordinates of all 16 atoms:
Na: 0.173 0.827 0.750
Na: 0.827 0.173 0.250
Ti: 0.500 0.500 0.000
Ti: 0.500 0.500 0.500
P: 0.178 0.822 0.250
P: 0.822 0.178 0.750
O: 0.115 0.252 0.898
O: 0.193 0.631 0.379
O: 0.252 0.115 0.398
O: 0.369 0.807 0.121
O: 0.435 0.565 0.750
O: 0.565 0.435 0.250
O: 0.631 0.193 0.879
O: 0.748 0.885 0.602
O: 0.807 0.369 0.621
O: 0.885 0.748 0.102


6.
## NaTiP2O (PBE)

Data for an optimized crystal structure of NaTiP2O.

Summary:
uncorrected energy	-20.772	eV/cell
size of the total moment	0.000	μB/f.u.
polymorph energy (0 for the lowest one)	1.4699	eV per atom

a b c (Å): 4.708 4.708 3.867
angles (deg): 90.00 90.00 90.00
Fractional coordinates of all 5 atoms:
Na: 0.000 0.000 0.000
Ti: 0.500 0.500 0.500
P: 0.000 0.500 0.000
P: 0.500 0.000 0.000
O: 0.000 0.000 0.500


7.
## NaTi3P3O13 (PBE)

Data for an optimized crystal structure of NaTi3P3O13.

Summary:
uncorrected energy	-312.821	eV/cell
size of the total moment	2.002	μB/f.u.

a b c (Å): 7.714 6.412 10.485
angles (deg): 90.00 99.45 90.00
Fractional coordinates of all 40 atoms:
Na: 0.153 0.250 0.182
Na: 0.847 0.750 0.818
Ti: 0.142 0.250 0.807
Ti: 0.290 0.750 0.443
Ti: 0.500 0.000 0.000
Ti: 0.500 0.500 0.000
Ti: 0.710 0.250 0.557
Ti: 0.858 0.750 0.193
P: 0.193 0.750 0.121
P: 0.236 0.750 0.766
P: 0.279 0.250 0.517
P: 0.721 0.750 0.483
P: 0.764 0.250 0.234
P: 0.807 0.250 0.879
O: 0.002 0.750 0.046
O: 0.126 0.559 0.791
O: 0.126 0.941 0.791
O: 0.153 0.750 0.263
O: 0.166 0.250 0.624
O: 0.244 0.056 0.430
O: 0.244 0.444 0.430
O: 0.284 0.750 0.629
O: 0.296 0.551 0.097
O: 0.296 0.949 0.097
O: 0.362 0.250 0.905
O: 0.410 0.750 0.869
O: 0.479 0.250 0.582
O: 0.521 0.750 0.418
O: 0.590 0.250 0.131
O: 0.638 0.750 0.095
O: 0.704 0.051 0.903
O: 0.704 0.449 0.903
O: 0.716 0.250 0.371
O: 0.756 0.556 0.570
O: 0.756 0.944 0.570
O: 0.834 0.750 0.376
O: 0.847 0.250 0.737
O: 0.874 0.059 0.209
O: 0.874 0.441 0.209
O: 0.998 0.250 0.954


8.
## Na3TiP8O23 (PBE)

Data for an optimized crystal structure of Na3TiP8O23.

Summary:
uncorrected energy	-985.221	eV/cell
size of the total moment	1.000	μB/f.u.

a b c (Å): 12.190 12.190 12.190
angles (deg): 90.00 90.00 90.00
Fractional coordinates of all 140 atoms:
Na: 0.044 0.294 0.125
Na: 0.125 0.044 0.294
Na: 0.206 0.875 0.544
Na: 0.294 0.125 0.044
Na: 0.375 0.956 0.794
Na: 0.456 0.706 0.625
Na: 0.544 0.206 0.875
Na: 0.625 0.456 0.706
Na: 0.706 0.625 0.456
Na: 0.794 0.375 0.956
Na: 0.875 0.544 0.206
Na: 0.956 0.794 0.375
Ti: 0.125 0.625 0.875
Ti: 0.375 0.375 0.375
Ti: 0.625 0.875 0.125
Ti: 0.875 0.125 0.625
P: 0.017 0.017 0.017
P: 0.068 0.358 0.854
P: 0.104 0.892 0.818
P: 0.108 0.318 0.396
P: 0.142 0.146 0.568
P: 0.146 0.568 0.142
P: 0.182 0.604 0.608
P: 0.233 0.767 0.267
P: 0.267 0.233 0.767
P: 0.318 0.396 0.108
P: 0.354 0.432 0.642
P: 0.358 0.854 0.068
P: 0.392 0.682 0.896
P: 0.396 0.108 0.318
P: 0.432 0.642 0.354
P: 0.483 0.983 0.517
P: 0.517 0.483 0.983
P: 0.568 0.142 0.146
P: 0.604 0.608 0.182
P: 0.608 0.182 0.604
P: 0.642 0.354 0.432
P: 0.646 0.932 0.858
P: 0.682 0.896 0.392
P: 0.733 0.733 0.733
P: 0.767 0.267 0.233
P: 0.818 0.104 0.892
P: 0.854 0.068 0.358
P: 0.858 0.646 0.932
P: 0.892 0.818 0.104
P: 0.896 0.392 0.682
P: 0.932 0.858 0.646
P: 0.983 0.517 0.483
O: 0.009 0.404 0.425
O: 0.011 0.817 0.563
O: 0.016 0.375 0.734
O: 0.042 0.120 0.635
O: 0.063 0.489 0.183
O: 0.067 0.239 0.313
O: 0.075 0.991 0.904
O: 0.087 0.087 0.087
O: 0.096 0.575 0.509
O: 0.115 0.630 0.708
O: 0.120 0.635 0.042
O: 0.125 0.266 0.516
O: 0.130 0.792 0.885
O: 0.135 0.458 0.880
O: 0.154 0.259 0.825
O: 0.163 0.837 0.337
O: 0.175 0.654 0.241
O: 0.183 0.063 0.489
O: 0.187 0.933 0.739
O: 0.208 0.385 0.370
O: 0.234 0.484 0.625
O: 0.239 0.313 0.067
O: 0.241 0.175 0.654
O: 0.259 0.825 0.154
O: 0.261 0.687 0.567
O: 0.266 0.516 0.125
O: 0.292 0.615 0.870
O: 0.313 0.067 0.239
O: 0.317 0.937 0.989
O: 0.325 0.346 0.741
O: 0.337 0.163 0.837
O: 0.346 0.741 0.325
O: 0.365 0.542 0.380
O: 0.370 0.208 0.385
O: 0.375 0.734 0.016
O: 0.380 0.365 0.542
O: 0.385 0.370 0.208
O: 0.404 0.425 0.009
O: 0.413 0.913 0.587
O: 0.425 0.009 0.404
O: 0.433 0.761 0.813
O: 0.437 0.511 0.683
O: 0.458 0.880 0.135
O: 0.484 0.625 0.234
O: 0.489 0.183 0.063
O: 0.491 0.596 0.925
O: 0.509 0.096 0.575
O: 0.511 0.683 0.437
O: 0.516 0.125 0.266
O: 0.542 0.380 0.365
O: 0.563 0.011 0.817
O: 0.567 0.261 0.687
O: 0.575 0.509 0.096
O: 0.587 0.413 0.913
O: 0.596 0.925 0.491
O: 0.615 0.870 0.292
O: 0.620 0.865 0.958
O: 0.625 0.234 0.484
O: 0.630 0.708 0.115
O: 0.635 0.042 0.120
O: 0.654 0.241 0.175
O: 0.663 0.663 0.663
O: 0.675 0.846 0.759
O: 0.683 0.437 0.511
O: 0.687 0.567 0.261
O: 0.708 0.115 0.630
O: 0.734 0.016 0.375
O: 0.739 0.187 0.933
O: 0.741 0.325 0.346
O: 0.759 0.675 0.846
O: 0.761 0.813 0.433
O: 0.766 0.984 0.875
O: 0.792 0.885 0.130
O: 0.813 0.433 0.761
O: 0.817 0.563 0.011
O: 0.825 0.154 0.259
O: 0.837 0.337 0.163
O: 0.846 0.759 0.675
O: 0.865 0.958 0.620
O: 0.870 0.292 0.615
O: 0.875 0.766 0.984
O: 0.880 0.135 0.458
O: 0.885 0.130 0.792
O: 0.904 0.075 0.991
O: 0.913 0.587 0.413
O: 0.925 0.491 0.596
O: 0.933 0.739 0.187
O: 0.937 0.989 0.317
O: 0.958 0.620 0.865
O: 0.984 0.875 0.766
O: 0.989 0.317 0.937
O: 0.991 0.904 0.075


> Among the records above, which one has the lowest uncorrected energy?

Na3TiP8O23


Copy entry 1 word for word.
## NaTiPO5 (PBE)

Data for an optimized crystal structure of NaTiPO5.

Summary:
uncorrected energy	-479.470	eV/cell
size of the total moment	0.000	μB/f.u.
polymorph energy (0 for the lowest one)	0.0000	eV per atom

a b c (Å): 8.828 10.668 9.251
angles (deg): 90.00 90.02 90.00
Fractional coordinates of all 64 atoms:
Na: 0.036 0.000 0.293
Na: 0.228 0.200 0.980
Na: 0.250 0.631 0.354
Na: 0.461 0.785 0.697
Na: 0.539 0.285 0.303
Na: 0.750 0.131 0.646
Na: 0.772 0.700 0.020
Na: 0.964 0.500 0.707
Ti: 0.117 0.755 0.856
Ti: 0.124 0.026 0.651
Ti: 0.381 0.266 0.647
Ti: 0.393 0.527 0.868
Ti: 0.607 0.027 0.132
Ti: 0.619 0.766 0.353
Ti: 0.876 0.526 0.349
Ti: 0.883 0.255 0.144
P: 0.074 0.272 0.449
P: 0.087 0.500 0.057
P: 0.408 0.782 0.062
P: 0.424 0.022 0.441
P: 0.576 0.522 0.559
P: 0.592 0.282 0.938
P: 0.913 0.000 0.943
P: 0.926 0.772 0.551
O: 0.001 0.171 0.548
O: 0.003 0.402 0.478
O: 0.004 0.591 0.950
O: 0.039 0.363 0.030
O: 0.049 0.229 0.290
O: 0.052 0.542 0.215
O: 0.195 0.890 0.755
O: 0.235 0.777 0.036
O: 0.247 0.284 0.477
O: 0.252 0.013 0.471
O: 0.255 0.144 0.728
O: 0.255 0.643 0.783
O: 0.261 0.507 0.038
O: 0.314 0.392 0.765
O: 0.435 0.746 0.223
O: 0.447 0.059 0.281
O: 0.463 0.916 0.028
O: 0.494 0.893 0.477
O: 0.496 0.689 0.963
O: 0.499 0.626 0.466
O: 0.501 0.126 0.534
O: 0.504 0.189 0.037
O: 0.506 0.393 0.523
O: 0.537 0.416 0.972
O: 0.553 0.559 0.719
O: 0.565 0.246 0.777
O: 0.686 0.892 0.235
O: 0.739 0.007 0.962
O: 0.745 0.143 0.217
O: 0.745 0.644 0.272
O: 0.748 0.513 0.529
O: 0.753 0.784 0.523
O: 0.765 0.277 0.964
O: 0.805 0.390 0.245
O: 0.948 0.042 0.785
O: 0.951 0.729 0.710
O: 0.961 0.863 0.970
O: 0.996 0.091 0.050
O: 0.997 0.902 0.522
O: 0.999 0.671 0.452